1.
The following is a DFT calculation (PBE) of a relaxed ErNbTl crystal.

Results
Relative energy among the computed polymorphs, eV per formula unit: 0.00
Total moment, μB per formula unit: 2.02

```
3
Lattice="-0.772 -4.483 -1.666 -4.104 -1.035 -2.357 0.095 -0.863 -4.765" Properties=species:S:1:pos:R:3 pbc="T T T"
Er -1.195 -1.595 -2.197
Nb -3.585 -4.785 -6.591
Tl 0.000 0.000 0.000
```



2.
The following is a DFT calculation (PBE) of a relaxed BeHg crystal.

Results
Relative energy among the computed polymorphs, eV per formula unit: 0.07

```
2
Lattice="0.000 2.570 2.570 2.570 0.000 2.570 2.570 2.570 0.000" Properties=species:S:1:pos:R:3 pbc="T T T"
Be 0.000 0.000 0.000
Hg 2.570 2.570 2.570
```



3.
The following is a DFT calculation (PBE) of a relaxed Re2PdO5 crystal.

Results
Total moment, μB per formula unit: 0.00
Total energy, eV/atom: -7.794

```
16
Lattice="-3.877 -3.300 -3.544 -0.937 -6.127 0.249 -3.306 1.894 3.975" Properties=species:S:1:pos:R:3 pbc="T T T"
O -2.617 -6.839 -0.802
O -4.248 -5.272 -2.905
O -3.233 -4.240 -0.653
O -3.850 -1.640 -0.506
O -2.221 -3.208 1.598
O -5.900 -4.324 -0.918
O -4.270 -5.892 1.186
O -4.887 -3.292 1.333
O -3.873 -2.261 3.585
O -5.504 -0.693 1.482
Pd 0.000 0.000 0.000
Pd -1.653 0.947 1.988
Re -2.100 -2.755 -0.426
Re -4.367 -5.724 -0.882
Re -3.753 -1.808 1.562
Re -6.020 -4.777 1.106
```



4.
The following is a DFT calculation (PBE) of a relaxed SmY2P3 crystal.

Results
Total moment, μB per formula unit: 0.00
Total energy, eV/atom: -7.254

```
6
Lattice="4.043 0.000 0.000 -2.021 3.501 0.000 0.000 0.000 9.897" Properties=species:S:1:pos:R:3 pbc="T T T"
P 0.000 0.000 0.000
P 0.000 2.334 3.253
P 2.021 1.167 6.644
Sm 0.000 0.000 4.949
Y 2.021 1.167 1.627
Y 0.000 2.334 8.270
```



5.
The following is a DFT calculation (PBE) of a relaxed UInRe crystal.

Results
Relative energy among the computed polymorphs, eV per formula unit: 0.00
Total moment, μB per formula unit: 2.03

```
3
Lattice="-2.073 -3.547 2.161 0.736 -0.709 4.528 -3.396 0.811 3.059" Properties=species:S:1:pos:R:3 pbc="T T T"
In -3.550 -2.583 7.311
Re 0.000 0.000 0.000
U -1.183 -0.861 2.437
```



6.
The following is a DFT calculation (PBE) of a relaxed ZrCoHgGe crystal.

Results
Relative energy among the computed polymorphs, eV per formula unit: 0.43
Total moment, μB per formula unit: 0.14

```
4
Lattice="0.000 3.288 3.288 3.288 0.000 3.288 3.288 3.288 0.000" Properties=species:S:1:pos:R:3 pbc="T T T"
Co 4.932 4.932 4.932
Ge 0.000 0.000 0.000
Hg 1.644 1.644 1.644
Zr 3.288 3.288 3.288
```



7.
The following is a DFT calculation (PBE) of a relaxed Sr2HgPt2 crystal.

Results
Total moment, μB per formula unit: 0.00
Total energy, eV/atom: -3.900

```
10
Lattice="-0.068 -2.451 5.459 -3.314 -4.840 1.184 7.064 -3.304 -3.519" Properties=species:S:1:pos:R:3 pbc="T T T"
Hg -1.068 -5.312 0.937
Hg 4.750 -5.282 2.187
Pt -3.254 -5.539 2.710
Pt 1.107 -5.094 -0.851
Pt 2.575 -5.500 3.976
Pt 6.936 -5.055 0.414
Sr -0.662 -4.851 4.422
Sr 1.783 -3.377 1.741
Sr 1.899 -7.217 1.383
Sr 4.343 -5.744 -1.298
```



8.
The following is a DFT calculation (PBE) of a relaxed MgTl2TcO6 crystal.

Results
Total moment, μB per formula unit: 0.00
Total energy, eV/atom: -5.913

```
10
Lattice="-3.757 -1.077 4.007 0.042 2.967 4.746 -4.101 3.662 1.048" Properties=species:S:1:pos:R:3 pbc="T T T"
Mg -3.908 2.776 4.901
O -3.830 0.773 4.436
O -1.854 2.875 4.820
O -3.808 2.315 6.904
O -4.009 3.237 2.897
O -5.962 2.677 4.981
O -3.987 4.780 5.365
Tc 0.000 0.000 0.000
Tl -1.954 1.388 2.450
Tl -5.862 4.164 7.351
```



9.
The following is a DFT calculation (PBE) of a relaxed LaGdNi8B2 crystal.

Results
Relative energy among the computed polymorphs, eV per formula unit: 0.48
Total moment, μB per formula unit: 0.00

```
12
Lattice="-1.253 3.632 3.302 1.662 -4.483 1.676 6.570 2.387 -0.132" Properties=species:S:1:pos:R:3 pbc="T T T"
B 3.004 2.121 2.694
B 3.975 -0.584 2.152
Gd 0.000 0.000 0.000
La 3.285 1.193 -0.066
Ni -0.282 0.927 2.760
Ni 0.690 -1.778 2.218
Ni 1.287 2.511 1.613
Ni 2.745 -1.546 0.800
Ni 2.118 0.270 2.451
Ni 4.030 3.508 1.558
Ni 5.488 -0.550 0.745
Ni 4.861 1.267 2.396
```



10.
The following is a DFT calculation (PBE) of a relaxed LiNbAsO crystal.

Results
Relative energy among the computed polymorphs, eV per formula unit: 0.22
Total moment, μB per formula unit: 0.00

```
8
Lattice="-0.065 -3.462 1.776 2.760 -2.421 -4.618 4.631 1.051 2.217" Properties=species:S:1:pos:R:3 pbc="T T T"
As 2.399 -0.182 -0.268
As 6.157 -0.923 -1.575
Li 0.569 -1.604 1.159
Li 5.628 -3.485 -2.324
Nb 3.583 -1.223 -2.254
Nb 4.969 0.117 0.409
O 3.769 -3.149 -1.738
O 4.712 -1.421 1.666
```



11.
The following is a DFT calculation (PBE) of a relaxed NaNdFeSe3 crystal.

Results
Relative energy among the computed polymorphs, eV per formula unit: 0.00
Total moment, μB per formula unit: 3.95

```
24
Lattice="-12.947 -0.650 -4.818 0.243 -4.075 -0.103 -3.945 -0.504 10.667" Properties=species:S:1:pos:R:3 pbc="T T T"
Fe -0.345 -1.063 0.774
Fe -8.173 -1.561 2.027
Fe -8.476 -3.668 3.720
Fe -16.303 -4.166 4.972
Na -2.960 -3.229 -0.645
Na -11.014 -3.756 1.223
Na -5.634 -1.473 4.524
Na -13.689 -2.000 6.392
Nd -7.118 -3.472 -0.844
Nd -1.349 -3.237 3.471
Nd -15.300 -1.992 2.276
Nd -9.531 -1.757 6.590
Se -5.173 -1.301 -1.183
Se -11.919 -3.697 -3.263
Se -2.575 -1.220 1.714
Se -9.252 -1.570 -0.144
Se -6.561 -3.514 2.164
Se -13.105 -1.812 0.352
Se -3.544 -3.416 5.394
Se -10.088 -1.714 3.583
Se -7.396 -3.658 5.891
Se -14.074 -4.009 4.033
Se -4.730 -1.532 9.009
Se -11.476 -3.927 6.929
```



12.
The following is a DFT calculation (PBE) of a relaxed Nd2CoGe4Pt crystal.

Results
Total moment, μB per formula unit: 0.00
Total energy, eV/atom: -5.920

```
8
Lattice="4.356 0.000 0.000 0.000 2.142 8.477 0.000 -2.142 8.477" Properties=species:S:1:pos:R:3 pbc="T T T"
Co 0.000 0.000 11.560
Ge 0.000 0.000 4.116
Ge 2.178 0.000 7.903
Ge 0.000 0.000 9.252
Ge 2.178 0.000 12.563
Nd 2.178 0.000 1.830
Nd 0.000 0.000 15.143
Pt 2.178 0.000 5.450
```



13.
The following is a DFT calculation (PBE) of a relaxed TlNiPd crystal.

Results
Total moment, μB per formula unit: 0.00
Total energy, eV/atom: -4.038

```
3
Lattice="-0.893 -3.622 2.236 -3.536 -2.339 -0.970 0.419 -3.889 -1.902" Properties=species:S:1:pos:R:3 pbc="T T T"
Ni -1.002 -2.462 -0.159
Pd -3.007 -7.387 -0.477
Tl 0.000 0.000 0.000
```



14.
The following is a DFT calculation (PBE) of a relaxed HoTmPa crystal.

Results
Relative energy among the computed polymorphs, eV per formula unit: 0.00
Formation enthalpy at 0 K, eV/atom: 1.07
Total moment, μB per formula unit: 2.79

```
3
Lattice="-2.328 -3.741 2.817 -4.134 -2.546 -1.944 0.450 -5.011 -1.429" Properties=species:S:1:pos:R:3 pbc="T T T"
Ho -1.503 -2.825 -0.139
Pa -4.509 -8.474 -0.417
Tm 0.000 0.000 0.000
```



15.
The following is a DFT calculation (PBE) of a relaxed LiHoRe crystal.

Results
Relative energy among the computed polymorphs, eV per formula unit: 0.00
Total moment, μB per formula unit: 0.58

```
3
Lattice="4.079 0.384 1.385 0.798 1.394 4.015 1.541 -2.737 2.973" Properties=species:S:1:pos:R:3 pbc="T T T"
Ho 3.209 -0.479 4.187
Li 1.604 -0.240 2.093
Re 0.000 0.000 0.000
```



16.
The following is a DFT calculation (PBE) of a relaxed RbHfAgTeSeS crystal.

Results
Relative energy among the computed polymorphs, eV per formula unit: 0.49
Total moment, μB per formula unit: 0.00

```
12
Lattice="-4.008 -4.021 6.691 3.573 -0.701 1.719 1.318 10.701 1.624" Properties=species:S:1:pos:R:3 pbc="T T T"
Ag -1.291 -1.450 4.449
Ag 2.174 7.428 5.585
Hf -0.103 -0.279 7.173
Hf 0.986 6.258 2.861
Rb 1.870 0.619 3.438
Rb -0.988 5.360 6.597
S -1.171 0.953 5.181
S 2.054 5.025 4.853
Se -0.303 -2.842 6.544
Se 1.186 8.820 3.491
Te 1.121 3.594 1.494
Te -0.238 2.385 8.540
```



17.
The following is a DFT calculation (PBE) of a relaxed CoB4Mo crystal.

Results
Relative energy among the computed polymorphs, eV per formula unit: 0.00
Total moment, μB per formula unit: 0.00

```
6
Lattice="3.000 0.000 0.000 -1.500 2.598 0.000 0.000 0.000 6.227" Properties=species:S:1:pos:R:3 pbc="T T T"
B 1.500 0.866 1.442
B 0.000 1.732 1.442
B 1.500 0.866 4.784
B 0.000 1.732 4.784
Co 0.000 0.000 0.000
Mo 0.000 0.000 3.113
```



18.
The following is a DFT calculation (PBE) of a relaxed SmBi crystal.

Results
Relative energy among the computed polymorphs, eV per formula unit: 0.50
Total moment, μB per formula unit: 0.00

```
2
Lattice="-2.216 -1.181 -3.411 4.125 0.890 -0.358 0.926 -3.980 0.777" Properties=species:S:1:pos:R:3 pbc="T T T"
Bi 0.593 -3.476 -1.811
Sm 2.243 -0.795 -1.182
```



19.
The following is a DFT calculation (PBE) of a relaxed BaIrO3 crystal.

Results
Total moment, μB per formula unit: 0.23
Total energy, eV/atom: -6.672

```
30
Lattice="-3.836 -0.397 -4.245 -0.503 -3.382 4.605 -7.898 10.301 6.449" Properties=species:S:1:pos:R:3 pbc="T T T"
Ba -2.415 -1.438 2.276
Ba -5.797 2.166 -2.596
Ba -4.762 1.814 4.258
Ba -7.475 4.708 2.551
Ba -6.441 4.356 9.405
Ba -9.822 7.960 4.532
Ir 0.000 0.000 0.000
Ir -3.972 0.143 -0.279
Ir -5.409 2.208 0.959
Ir -3.949 5.150 3.225
Ir -6.828 4.314 5.850
Ir -8.265 6.379 7.088
O -1.965 -0.204 -0.428
O -4.488 -1.796 0.086
O -4.278 -0.083 -2.291
O -3.887 2.159 -0.420
O -4.182 0.720 1.691
O -5.967 0.616 -0.157
O -6.334 3.536 -0.296
O -4.399 3.703 1.908
O -6.982 2.166 2.261
O -5.255 4.355 4.548
O -7.838 2.819 4.901
O -5.903 2.986 7.104
O -6.270 5.906 6.965
O -8.055 5.802 5.118
O -8.350 4.363 7.228
O -7.959 6.605 9.100
O -7.749 8.317 6.722
O -10.272 6.726 7.237
```



20.
The following is a DFT calculation (PBE) of a relaxed Nd2Hg crystal.

Results
Formation enthalpy at 0 K, eV/atom: 0.23
Total moment, μB per formula unit: 0.51

```
6
Lattice="4.613 -4.312 -0.876 0.154 -5.274 3.577 -1.376 -5.656 -2.599" Properties=species:S:1:pos:R:3 pbc="T T T"
Hg 0.000 0.000 0.000
Hg 0.848 -3.811 0.025
Nd 2.807 -6.699 1.363
Nd 2.042 -6.890 -1.725
Nd -0.187 -7.371 0.502
Nd 2.119 -9.527 0.064
```